[1]
The following is a DFT calculation (PBE-GGA) of crystalline TlSiAsBr2 at its relaxed geometry.

a b c (Å): 5.440 5.440 4.823
angles (deg): 90.00 90.00 90.00
Fractional positions:
Tl 0.000 0.000 0.000
Si 0.500 0.500 0.500
As 0.500 0.500 0.000
Br 0.000 0.500 0.500
Br 0.500 0.000 0.500

Total magnetic moment ... 0.82 μB per cell
Symmetry ... P4/mmm
Excess energy over the best structure of this formula in the dataset ... 0.000 eV per atom
Calculated total energy ... -0.11648 Ha/atom
Mass density ... 5.43 g/cm3
N(E_F) ... 3.24 states/eV per cell
Formation energy from raw total energies ... -0.1 eV per formula unit

***

[2]
The following is a DFT calculation (PBE-GGA) of crystalline VSiAs2Br at its relaxed geometry.

a b c (Å): 4.708 4.708 5.304
angles (deg): 90.00 90.00 90.00
Fractional positions:
V 0.000 0.000 0.000
Si 0.500 0.500 0.500
As 0.000 0.500 0.000
As 0.500 0.000 0.000
Br 0.000 0.000 0.500

Total magnetic moment ... 1.17 μB per cell
Symmetry ... P4/mmm
Excess energy over the best structure of this formula in the dataset ... 0.000 eV per atom
Calculated total energy ... -0.16801 Ha/atom
Mass density ... 4.36 g/cm3
N(E_F) ... 3.35 states/eV per cell
Formation energy from raw total energies ... 2.7 eV per formula unit

***

[3]
The following is a DFT calculation (PBE-GGA) of crystalline VSiAs2Br at its relaxed geometry.

a b c (Å): 4.745 4.745 5.066
angles (deg): 90.00 90.00 90.00
Fractional positions:
V 0.000 0.000 0.000
Si 0.500 0.500 0.500
As 0.000 0.500 0.500
As 0.500 0.000 0.500
Br 0.500 0.500 0.000

Total magnetic moment ... 2.65 μB per cell
Symmetry ... P4/mmm
Excess energy over the best structure of this formula in the dataset ... 0.235 eV per atom
Calculated total energy ... -0.15936 Ha/atom
Mass density ... 4.49 g/cm3
N(E_F) ... 3.84 states/eV per cell
Formation energy from raw total energies ... 3.8 eV per formula unit

***

[4]
The following is a DFT calculation (PBE-GGA) of crystalline SiAsWBr2 at its relaxed geometry.

a b c (Å): 5.127 5.127 4.950
angles (deg): 90.00 90.00 90.00
Fractional positions:
Si 0.000 0.000 0.000
As 0.500 0.500 0.000
W 0.500 0.500 0.500
Br 0.000 0.500 0.500
Br 0.500 0.000 0.500

Total magnetic moment ... 2.27 μB per cell
Symmetry ... P4/mmm
Excess energy over the best structure of this formula in the dataset ... 0.000 eV per atom
Calculated total energy ... -0.16051 Ha/atom
Mass density ... 5.70 g/cm3
N(E_F) ... 5.14 states/eV per cell
Formation energy from raw total energies ... 4.5 eV per formula unit

***

[5]
The following is a DFT calculation (PBE-GGA) of crystalline SiAs2WBr at its relaxed geometry.

a b c (Å): 4.849 4.849 5.330
angles (deg): 90.00 90.00 90.00
Fractional positions:
Si 0.000 0.000 0.000
As 0.000 0.500 0.500
As 0.500 0.000 0.500
W 0.500 0.500 0.500
Br 0.500 0.500 0.000

Total magnetic moment ... 0.97 μB per cell
Symmetry ... P4/mmm
Excess energy over the best structure of this formula in the dataset ... 0.000 eV per atom
Calculated total energy ... -0.18330 Ha/atom
Mass density ... 5.85 g/cm3
N(E_F) ... 5.16 states/eV per cell
Formation energy from raw total energies ... 4.4 eV per formula unit

***

[6]
The following is a DFT calculation (PBE-GGA) of crystalline SiAsWBr2 at its relaxed geometry.

a b c (Å): 4.863 4.863 5.191
angles (deg): 90.00 90.00 90.00
Fractional positions:
Si 0.000 0.000 0.000
As 0.000 0.000 0.500
W 0.500 0.500 0.500
Br 0.000 0.500 0.000
Br 0.500 0.000 0.000

Total magnetic moment ... 3.67 μB per cell
Symmetry ... P4/mmm
Excess energy over the best structure of this formula in the dataset ... 0.392 eV per atom
Calculated total energy ... -0.14609 Ha/atom
Mass density ... 6.04 g/cm3
N(E_F) ... 4.96 states/eV per cell
Formation energy from raw total energies ... 6.5 eV per formula unit

***

[7]
The following is a DFT calculation (PBE-GGA) of crystalline SiAs2WBr at its relaxed geometry.

a b c (Å): 4.764 4.764 4.769
angles (deg): 90.00 90.00 90.00
Fractional positions:
Si 0.000 0.000 0.000
As 0.000 0.500 0.000
As 0.500 0.000 0.000
W 0.500 0.500 0.500
Br 0.000 0.000 0.500

Total magnetic moment ... 2.68 μB per cell
Symmetry ... P4/mmm
Excess energy over the best structure of this formula in the dataset ... 0.461 eV per atom
Calculated total energy ... -0.16635 Ha/atom
Mass density ... 6.77 g/cm3
N(E_F) ... 3.66 states/eV per cell
Formation energy from raw total energies ... 6.7 eV per formula unit

***

[8]
The following is a DFT calculation (PBE-GGA) of crystalline YSiAsBr2 at its relaxed geometry.

a b c (Å): 4.991 4.991 5.147
angles (deg): 90.00 90.00 90.00
Fractional positions:
Y 0.000 0.000 0.000
Si 0.500 0.500 0.500
As 0.500 0.500 0.000
Br 0.000 0.500 0.500
Br 0.500 0.000 0.500

Total magnetic moment ... 0.00 μB per cell
Symmetry ... P4/mmm
Excess energy over the best structure of this formula in the dataset ... 0.000 eV per atom
Calculated total energy ... -0.15230 Ha/atom
Mass density ... 4.55 g/cm3
N(E_F) ... 1.78 states/eV per cell
Formation energy from raw total energies ... -0.8 eV per formula unit

***

Copy entry 3 word for word.
The following is a DFT calculation (PBE-GGA) of crystalline VSiAs2Br at its relaxed geometry.

a b c (Å): 4.745 4.745 5.066
angles (deg): 90.00 90.00 90.00
Fractional positions:
V 0.000 0.000 0.000
Si 0.500 0.500 0.500
As 0.000 0.500 0.500
As 0.500 0.000 0.500
Br 0.500 0.500 0.000

Total magnetic moment ... 2.65 μB per cell
Symmetry ... P4/mmm
Excess energy over the best structure of this formula in the dataset ... 0.235 eV per atom
Calculated total energy ... -0.15936 Ha/atom
Mass density ... 4.49 g/cm3
N(E_F) ... 3.84 states/eV per cell
Formation energy from raw total energies ... 3.8 eV per formula unit

***

What did the third record say?
The following is a DFT calculation (PBE-GGA) of crystalline VSiAs2Br at its relaxed geometry.

a b c (Å): 4.745 4.745 5.066
angles (deg): 90.00 90.00 90.00
Fractional positions:
V 0.000 0.000 0.000
Si 0.500 0.500 0.500
As 0.000 0.500 0.500
As 0.500 0.000 0.500
Br 0.500 0.500 0.000

Total magnetic moment ... 2.65 μB per cell
Symmetry ... P4/mmm
Excess energy over the best structure of this formula in the dataset ... 0.235 eV per atom
Calculated total energy ... -0.15936 Ha/atom
Mass density ... 4.49 g/cm3
N(E_F) ... 3.84 states/eV per cell
Formation energy from raw total energies ... 3.8 eV per formula unit

***

- What is the formation energy from raw total energies in the second record?
  2.7 eV per formula unit